Run 1
Below is a relaxed DyErZnPt crystal, with properties calculated at the PBE level.

Calculated values
density of states at the Fermi level	2.8	states/eV/cell

a = 3.535 Å, b = 3.535 Å, c = 6.922 Å
α = 90.00°, β = 90.00°, γ = 90.00°
Atoms (fractional coordinates):
Dy  0.000  0.000  0.000
Er  0.000  0.000  0.486
Zn  0.500  0.500  0.739
Pt  0.500  0.500  0.248



Run 2
Below is a relaxed DyErZnPt crystal, with properties calculated at the PBE level.

Calculated values
density of states at the Fermi level	2.6	states/eV/cell

a = 4.960 Å, b = 4.960 Å, c = 4.960 Å
α = 60.00°, β = 60.00°, γ = 60.00°
Atoms (fractional coordinates):
Dy  0.000  0.000  0.000
Er  0.500  0.500  0.500
Zn  0.750  0.750  0.750
Pt  0.250  0.250  0.250



Pick run 1: it beats the second-best structure by 15 meV/atom.